[1]
Entry from the Alexandria database: a relaxed structure of Tb8PrTe2 (GGA-PBE).

Geometry as POSCAR:
```
Tb8PrTe2
1.0
-2.132 2.940 -4.944
-9.461 -2.002 -1.480
-8.905 3.692 1.666
Tb Te Pr
8 2 1
Direct
0.284 0.351 0.852
0.716 0.649 0.148
0.301 0.787 0.787
0.230 0.420 0.420
0.284 0.852 0.351
0.770 0.580 0.580
0.699 0.213 0.213
0.716 0.148 0.649
0.149 0.264 0.264
0.851 0.736 0.736
0.000 0.000 0.000
```

* formation energy from raw total energies: -4.4 eV per formula unit
* density of states at the Fermi level: 12.50 states/eV per cell
* space group: C2/m
* total energy: -4.77 eV per atom



[2]
Entry from the Alexandria database: a relaxed structure of Tb2PrTe (GGA-PBE).

Geometry as POSCAR:
```
Tb2PrTe
1.0
3.891 0.000 0.000
0.000 3.891 0.000
0.000 0.000 8.051
Te Tb Pr
1 2 1
Direct
0.500 0.500 0.500
0.000 0.000 0.283
0.000 0.000 0.717
0.500 0.500 0.000
```

* formation energy from raw total energies: -2.3 eV per formula unit
* density of states at the Fermi level: 5.36 states/eV per cell
* space group: P4/mmm
* total energy: -4.86 eV per atom
* relative energy among the computed polymorphs: 107 meV per atom



[3]
Entry from the Alexandria database: a relaxed structure of TbPrTe2 (GGA-PBE).

Geometry as POSCAR:
```
TbPrTe2
1.0
5.443 0.000 0.000
2.721 4.714 0.000
2.721 1.571 4.444
Pr Te Tb
1 2 1
Direct
0.000 0.000 0.000
0.750 0.750 0.750
0.250 0.250 0.250
0.500 0.500 0.500
```

* formation energy from raw total energies: -5.0 eV per formula unit
* density of states at the Fermi level: 3.57 states/eV per cell
* space group: Fm-3m
* total energy: -5.18 eV per atom
* relative energy among the computed polymorphs: 143 meV per atom



[4]
Entry from the Alexandria database: a relaxed structure of Tb6PrTe8 (GGA-PBE).

Geometry as POSCAR:
```
Tb6PrTe8
1.0
7.942 1.478 1.527
1.230 7.985 1.527
1.230 1.269 8.030
Pr Tb Te
1 6 8
Direct
0.000 0.000 0.000
0.078 0.452 0.694
0.306 0.922 0.548
0.922 0.548 0.306
0.694 0.078 0.452
0.548 0.306 0.922
0.452 0.694 0.078
0.100 0.807 0.374
0.675 0.675 0.675
0.807 0.374 0.100
0.626 0.900 0.193
0.193 0.626 0.900
0.374 0.100 0.807
0.325 0.325 0.325
0.900 0.193 0.626
```

* formation energy from raw total energies: -18.9 eV per formula unit
* density of states at the Fermi level: 9.08 states/eV per cell
* space group: R-3
* total energy: -5.10 eV per atom
* relative energy among the computed polymorphs: 135 meV per atom



[5]
Entry from the Alexandria database: a relaxed structure of Tb2Pr3ThTe6 (GGA-PBE).

Geometry as POSCAR:
```
Tb2Pr3ThTe6
1.0
-1.607 3.410 2.344
1.204 -4.663 7.609
9.274 2.944 -2.128
Tb Te Pr Th
2 6 3 1
Direct
0.165 0.331 0.330
0.835 0.669 0.670
0.005 0.252 0.010
0.995 0.748 0.990
0.329 0.423 0.659
0.331 0.906 0.662
0.671 0.577 0.341
0.669 0.094 0.338
0.839 0.166 0.678
0.161 0.834 0.322
0.500 0.500 0.000
0.500 0.000 0.000
```

* formation energy from raw total energies: -15.9 eV per formula unit
* density of states at the Fermi level: 7.79 states/eV per cell
* space group: C2/m
* total energy: -5.48 eV per atom



[6]
Entry from the Alexandria database: a relaxed structure of Tb3Pr2ThTe6 (GGA-PBE).

Geometry as POSCAR:
```
Tb3Pr2ThTe6
1.0
-1.862 -1.780 3.551
7.986 -3.278 2.545
0.354 9.717 2.346
Te Th Pr Tb
6 1 2 3
Direct
0.995 0.256 0.990
0.331 0.927 0.662
0.669 0.073 0.338
0.005 0.744 0.010
0.665 0.589 0.331
0.335 0.411 0.669
0.500 0.000 0.000
0.837 0.674 0.673
0.163 0.326 0.327
0.832 0.167 0.665
0.168 0.833 0.335
0.500 0.500 0.000
```

* formation energy from raw total energies: -15.6 eV per formula unit
* density of states at the Fermi level: 7.83 states/eV per cell
* space group: C2/m
* total energy: -5.44 eV per atom



[7]
Entry from the Alexandria database: a relaxed structure of TbPrTlTe (GGA-PBE).

Geometry as POSCAR:
```
TbPrTlTe
1.0
4.472 0.000 0.000
0.000 4.472 0.000
0.000 0.000 6.351
Tb Te Tl Pr
1 1 1 1
Direct
0.000 0.000 0.500
0.500 0.500 0.500
0.000 0.000 0.000
0.500 0.500 0.000
```

* formation energy from raw total energies: -3.3 eV per formula unit
* density of states at the Fermi level: 3.17 states/eV per cell
* space group: P4/mmm
* total energy: -4.55 eV per atom



[8]
Entry from the Alexandria database: a relaxed structure of Tb2PrTl3Te6 (GGA-PBE).

Geometry as POSCAR:
```
Tb2PrTl3Te6
1.0
7.814 0.000 0.000
-3.905 6.768 0.000
-1.304 -2.257 8.182
Tl Tb Te Pr
3 2 6 1
Direct
0.836 0.164 0.500
0.500 0.500 0.500
0.164 0.836 0.500
0.667 0.333 0.000
0.333 0.667 0.000
0.414 0.073 0.217
0.270 0.270 0.785
0.586 0.927 0.783
0.073 0.414 0.217
0.927 0.586 0.783
0.730 0.730 0.215
0.000 0.000 0.000
```

* formation energy from raw total energies: -12.8 eV per formula unit
* space group: C2/m
* total energy: -4.40 eV per atom